1.
Here is a relaxed SmTm2Sc4 crystal from Alexandria. Energies are from GGA-PBE.

polymorph energy (0 for the lowest one)	0.86	eV/f.u.
SG	I4/mmm (139)
formation energy	225	meV per atom

a = 8.0361 Å, b = 8.0362 Å, c = 6.4817 Å
α = 128.27°, β = 128.31°, γ = 90.01°
Fractional coordinates of all 7 atoms:
Tm  0.7499  0.2499  0.5000
Sm  0.9999  0.9999  0.9998
Tm  0.2501  0.7502  0.5000
Sc  0.3076  0.3075  0.9999
Sc  0.6925  0.6924  0.0001
Sc  0.3070  0.6929  0.9999
Sc  0.6930  0.3073  0.0002

2.
Here is a relaxed Na2Hf2CoSe6 crystal from Alexandria. Energies are from GGA-PBE.

SG	C2/m (12)
formation energy without anion corrections	-1.04	eV/atom

a = 6.4961 Å, b = 6.4961 Å, c = 7.5087 Å
α = 98.34°, β = 98.34°, γ = 120.19°
Fractional coordinates of all 11 atoms:
Na  0.8314  0.1686  0.0000
Se  0.0802  0.3983  0.7142
Se  0.6017  0.9198  0.2858
Hf  0.6705  0.3295  0.5000
Se  0.2400  0.2400  0.2990
Na  0.1686  0.8314  0.0000
Co  0.0000  0.0000  0.5000
Se  0.3983  0.0802  0.7142
Se  0.9198  0.6017  0.2858
Se  0.7600  0.7600  0.7010
Hf  0.3295  0.6705  0.5000

3.
Here is a relaxed LiTc2Pb crystal from Alexandria. Energies are from GGA-PBE.

SG	Pmmm (47)
formation energy	582	meV per atom

a = 3.0050 Å, b = 4.1231 Å, c = 5.5688 Å
α = 90.00°, β = 90.00°, γ = 90.00°
Fractional coordinates of all 4 atoms:
Tc  0.0000  0.0000  0.4494
Tc  0.0000  0.0000  0.0506
Li  0.5000  0.5000  0.2500
Pb  0.5000  0.5000  0.7500

4.
Here is a relaxed Ba2LiLu crystal from Alexandria. Energies are from GGA-PBE.

polymorph energy (0 for the lowest one)	0.72	eV/f.u.
SG	R-3m (166)
formation energy	395	meV per atom

a = 3.7380 Å, b = 3.7380 Å, c = 13.3964 Å
α = 81.98°, β = 81.98°, γ = 60.00°
Fractional coordinates of all 4 atoms:
Ba  0.9114  0.9114  0.2658
Lu  0.0000  0.0000  0.0000
Li  0.5000  0.5000  0.5000
Ba  0.0886  0.0886  0.7342

5.
Here is a relaxed NaTl2Cd2 crystal from Alexandria. Energies are from GGA-PBE.

polymorph energy (0 for the lowest one)	0.32	eV/f.u.
SG	I4/mmm (139)
formation energy	22	meV per atom

a = 4.2122 Å, b = 4.2122 Å, c = 8.7108 Å
α = 76.01°, β = 76.01°, γ = 90.00°
Fractional coordinates of all 5 atoms:
Cd  0.2500  0.7500  0.5000
Cd  0.7500  0.2500  0.5000
Tl  0.3996  0.3996  0.2009
Na  0.0000  0.0000  0.0000
Tl  0.6004  0.6004  0.7991

6.
Here is a relaxed LiPdI crystal from Alexandria. Energies are from GGA-PBE.

polymorph energy (0 for the lowest one)	0.00	eV/f.u.
SG	R3m (160)
formation energy without anion corrections	-0.56	eV/atom

a = 4.5090 Å, b = 4.5091 Å, c = 26.0651 Å
α = 90.00°, β = 90.00°, γ = 120.00°
Fractional coordinates of all 18 atoms:
Li  0.6667  0.3333  0.3931
I  0.0000  0.0000  0.5771
Pd  0.3333  0.6667  0.3424
Li  0.3333  0.6667  0.7265
Li  0.6667  0.3333  0.6412
Pd  0.6667  0.3333  0.2869
I  0.3333  0.6667  0.2438
I  0.6667  0.3333  0.1090
I  0.3333  0.6667  0.4423
Li  0.0000  0.0000  0.0598
I  0.0000  0.0000  0.7756
Pd  0.3333  0.6667  0.6202
Pd  0.0000  0.0000  0.6758
Pd  0.0000  0.0000  0.9536
Li  0.0000  0.0000  0.3079
Pd  0.6667  0.3333  0.0091
Li  0.3333  0.6667  0.9745
I  0.6667  0.3333  0.9105

7.
Here is a relaxed CeDy2RuN4 crystal from Alexandria. Energies are from GGA-PBE.

SG	Cmcm (63)
formation energy without anion corrections	-1.07	eV/atom

a = 3.3999 Å, b = 6.0607 Å, c = 11.5353 Å
α = 90.00°, β = 90.00°, γ = 106.29°
Fractional coordinates of all 16 atoms:
Ru  0.1442  0.2883  0.2500
Ru  0.8558  0.7117  0.7500
Ce  0.1150  0.2300  0.7500
N  0.7280  0.4561  0.6306
Dy  0.6303  0.2606  0.4541
N  0.4550  0.9099  0.7500
N  0.7280  0.4561  0.8694
Ce  0.8850  0.7700  0.2500
N  0.0000  0.0000  0.5000
N  0.2720  0.5439  0.1306
N  0.5450  0.0901  0.2500
Dy  0.6303  0.2606  0.0459
Dy  0.3697  0.7394  0.5459
N  0.2720  0.5439  0.3694
Dy  0.3697  0.7394  0.9541
N  0.0000  0.0000  0.0000

8.
Here is a relaxed SrLi2AlAg crystal from Alexandria. Energies are from GGA-PBE.

polymorph energy (0 for the lowest one)	5.39	eV/f.u.
SG	P4/mmm (123)
formation energy	1021	meV per atom

a = 5.8098 Å, b = 5.6271 Å, c = 5.8098 Å
α = 90.00°, β = 90.00°, γ = 90.00°
Fractional coordinates of all 5 atoms:
Li  0.5000  0.0000  0.0000
Sr  0.0000  0.0000  0.0000
Al  0.5000  0.5000  0.5000
Li  0.0000  0.0000  0.5000
Ag  0.0000  0.5000  0.0000

9.
Here is a relaxed MnNiI2 crystal from Alexandria. Energies are from GGA-PBE.

polymorph energy (0 for the lowest one)	0.00	eV/f.u.
SG	I-42d (122)
formation energy without anion corrections	0.16	eV/atom

a = 6.0683 Å, b = 6.0683 Å, c = 7.4170 Å
α = 65.85°, β = 65.85°, γ = 90.00°
Fractional coordinates of all 8 atoms:
Mn  0.5000  0.5000  0.0000
Mn  0.2500  0.7500  0.5000
I  0.0979  0.6250  0.2500
I  0.6521  0.1250  0.2500
Ni  0.0000  0.0000  0.0000
I  0.8750  0.9021  0.7500
Ni  0.7500  0.2500  0.5000
I  0.3750  0.3479  0.7500

10.
Here is a relaxed Li2AuBr2 crystal from Alexandria. Energies are from GGA-PBE.

polymorph energy (0 for the lowest one)	0.00	eV/f.u.
SG	P4/mbm (127)
formation energy without anion corrections	-0.70	eV/atom

a = 7.6645 Å, b = 7.6645 Å, c = 3.5830 Å
α = 90.00°, β = 90.00°, γ = 90.00°
Fractional coordinates of all 10 atoms:
Li  0.3432  0.8432  0.0000
Br  0.8371  0.3371  0.5000
Li  0.6568  0.1568  0.0000
Br  0.3371  0.1629  0.5000
Li  0.8432  0.6568  0.0000
Li  0.1568  0.3432  0.0000
Au  0.0000  0.0000  0.0000
Au  0.5000  0.5000  0.0000
Br  0.6629  0.8371  0.5000
Br  0.1629  0.6629  0.5000

11.
Here is a relaxed La2CdOs crystal from Alexandria. Energies are from GGA-PBE.

SG	C2/m (12)
formation energy	-103	meV per atom

a = 4.2138 Å, b = 4.2138 Å, c = 8.5186 Å
α = 75.78°, β = 75.78°, γ = 59.89°
Fractional coordinates of all 4 atoms:
La  0.4777  0.4777  0.5654
La  0.0223  0.0223  0.9346
Os  0.7500  0.7500  0.7500
Cd  0.2500  0.2500  0.2500

12.
Here is a relaxed RbNb3Si crystal from Alexandria. Energies are from GGA-PBE.

polymorph energy (0 for the lowest one)	7.87	eV/f.u.
SG	Pm-3m (221)
formation energy without anion corrections	2.81	eV/atom

a = 4.7703 Å, b = 4.7703 Å, c = 4.7703 Å
α = 90.00°, β = 90.00°, γ = 90.00°
Fractional coordinates of all 5 atoms:
Nb  0.0000  0.0000  0.5000
Nb  0.5000  0.0000  0.0000
Rb  0.0000  0.0000  0.0000
Nb  0.0000  0.5000  0.0000
Si  0.5000  0.5000  0.5000

13.
Here is a relaxed Rb3Be2Cl8 crystal from Alexandria. Energies are from GGA-PBE.

SG	R-3m (166)
formation energy without anion corrections	-1.55	eV/atom

a = 6.9685 Å, b = 6.9685 Å, c = 9.8967 Å
α = 69.39°, β = 69.39°, γ = 60.00°
Fractional coordinates of all 13 atoms:
Cl  0.7529  0.2759  0.6953
Cl  0.7241  0.2471  0.3047
Cl  0.2759  0.2759  0.6953
Rb  0.7898  0.7898  0.6307
Cl  0.7241  0.7241  0.3047
Cl  0.2759  0.7529  0.6953
Be  0.5886  0.5886  0.2341
Rb  0.0000  0.0000  0.0000
Rb  0.2102  0.2102  0.3693
Be  0.4114  0.4114  0.7659
Cl  0.3363  0.3363  0.9912
Cl  0.2471  0.7241  0.3047
Cl  0.6637  0.6637  0.0088

14.
Here is a relaxed BaPPdPt crystal from Alexandria. Energies are from GGA-PBE.

SG	Imm2 (44)
formation energy	-752	meV per atom

a = 4.1882 Å, b = 4.4675 Å, c = 5.8268 Å
α = 112.54°, β = 111.06°, γ = 90.00°
Fractional coordinates of all 4 atoms:
P  0.2192  0.7192  0.4385
Pt  0.6150  0.6150  0.2300
Ba  0.9695  0.9695  0.9390
Pd  0.3116  0.3116  0.6231

15.
Here is a relaxed HfZrCd3 crystal from Alexandria. Energies are from GGA-PBE.

polymorph energy (0 for the lowest one)	5.08	eV/f.u.
SG	Pm-3m (221)
formation energy	1172	meV per atom

a = 5.2765 Å, b = 5.2765 Å, c = 5.2765 Å
α = 90.00°, β = 90.00°, γ = 90.00°
Fractional coordinates of all 5 atoms:
Cd  0.0000  0.5000  0.0000
Cd  0.0000  0.0000  0.5000
Cd  0.5000  0.0000  0.0000
Zr  0.5000  0.5000  0.5000
Hf  0.0000  0.0000  0.0000

16.
Here is a relaxed CaZnRe2Pt crystal from Alexandria. Energies are from GGA-PBE.

polymorph energy (0 for the lowest one)	1.78	eV/f.u.
SG	P4/mmm (123)
formation energy	1572	meV per atom

a = 4.5451 Å, b = 4.8912 Å, c = 4.5451 Å
α = 90.00°, β = 90.00°, γ = 90.00°
Fractional coordinates of all 5 atoms:
Re  0.5000  0.0000  0.0000
Ca  0.0000  0.5000  0.0000
Pt  0.5000  0.5000  0.5000
Zn  0.0000  0.0000  0.0000
Re  0.0000  0.0000  0.5000

17.
Here is a relaxed LiCaSe crystal from Alexandria. Energies are from GGA-PBE.

polymorph energy (0 for the lowest one)	0.00	eV/f.u.
SG	P-6m2 (187)
formation energy without anion corrections	-1.13	eV/atom

a = 4.2101 Å, b = 4.2101 Å, c = 4.2801 Å
α = 90.00°, β = 90.00°, γ = 120.00°
Fractional coordinates of all 3 atoms:
Ca  0.0000  0.0000  0.0000
Se  0.3333  0.6667  0.5005
Li  0.6667  0.3333  0.4995

18.
Here is a relaxed TmZrGe2 crystal from Alexandria. Energies are from GGA-PBE.

polymorph energy (0 for the lowest one)	0.49	eV/f.u.
SG	I4_1/amd (141)
formation energy	-683	meV per atom

a = 5.6178 Å, b = 5.6178 Å, c = 6.8829 Å
α = 114.09°, β = 114.09°, γ = 90.00°
Fractional coordinates of all 8 atoms:
Tm  0.2500  0.7500  0.5000
Ge  0.5057  0.0057  0.0114
Tm  0.5000  0.5000  0.0000
Ge  0.2443  0.2443  0.4886
Ge  0.9943  0.4943  0.9886
Zr  0.7500  0.2500  0.5000
Zr  0.0000  0.0000  0.0000
Ge  0.7557  0.7557  0.5114

19.
Here is a relaxed TiZn4Sn crystal from Alexandria. Energies are from GGA-PBE.

SG	F-43m (216)
formation energy	55	meV per atom

a = 5.2584 Å, b = 5.2584 Å, c = 5.2584 Å
α = 60.00°, β = 60.00°, γ = 60.00°
Fractional coordinates of all 6 atoms:
Ti  0.2500  0.2500  0.2500
Zn  0.6239  0.6239  0.6239
Sn  0.0000  0.0000  0.0000
Zn  0.6239  0.1283  0.6239
Zn  0.6239  0.6239  0.1283
Zn  0.1283  0.6239  0.6239

20.
Here is a relaxed Er5Ag4Ir crystal from Alexandria. Energies are from GGA-PBE.

SG	P4/mmm (123)
formation energy	-453	meV per atom

a = 3.5408 Å, b = 3.5408 Å, c = 18.0464 Å
α = 90.00°, β = 90.00°, γ = 90.00°
Fractional coordinates of all 10 atoms:
Er  0.5000  0.5000  0.2952
Ag  0.0000  0.0000  0.8047
Ag  0.0000  0.0000  0.1953
Ag  0.0000  0.0000  0.3982
Ir  0.0000  0.0000  0.0000
Er  0.5000  0.5000  0.5000
Er  0.5000  0.5000  0.7048
Er  0.5000  0.5000  0.9116
Ag  0.0000  0.0000  0.6018
Er  0.5000  0.5000  0.0884